Record 1
Compound: In2Sn
Source: Alexandria
Functional: PBE
Structure: relaxed

Values from the calculation:
E_form: 0.03 eV/atom
Mass density: 7.03 g cm⁻³
Symmetry: C2/m
M_tot: 0.00 μB per cell
Raw total energy: -9.4 eV per formula unit

Unit cell a=5.797 b=5.797 c=6.773 alpha=102.95 beta=102.95 gamma=48.19
Positions (direct):
In1 0.002 0.002 0.250
In2 0.332 0.332 0.917
In3 0.668 0.668 0.083
In4 0.998 0.998 0.750
Sn1 0.334 0.334 0.419
Sn2 0.666 0.666 0.581

***

Record 2
Compound: SrFe3Te
Source: Alexandria
Functional: PBE
Structure: relaxed

Values from the calculation:
Mass density: 5.47 g cm⁻³
Symmetry: Pm-3m
M_tot: 7.67 μB per cell
Uncorrected formation energy: 2008 meV/atom
Raw total energy: -20.2 eV per formula unit

Unit cell a=4.880 b=4.880 c=4.880 alpha=90.00 beta=90.00 gamma=90.00
Positions (direct):
Sr1 0.000 0.000 0.000
Fe1 0.000 0.000 0.500
Fe2 0.000 0.500 0.000
Fe3 0.500 0.000 0.000
Te1 0.500 0.500 0.500